Entry 1:
DFT (PBE-GGA) results for a relaxed structure of TmCdAu4.

Values from the calculation:
SG ... No. 216
Polymorph energy (0 for the lowest one) ... 96 meV/atom

abc: 5.566 5.566 5.566
angles: 60.00 60.00 60.00
Positions (direct):
Au  0.625  0.125  0.625
Tm  0.000  0.000  0.000
Au  0.125  0.625  0.625
Au  0.625  0.625  0.125
Cd  0.250  0.250  0.250
Au  0.625  0.625  0.625

Entry 2:
DFT (PBE-GGA) results for a relaxed structure of TmCd5Au6.

Values from the calculation:
SG ... No. 12

abc: 4.713 8.196 8.196
angles: 115.66 106.71 106.71
Positions (direct):
Cd  0.000  0.333  0.667
Au  0.254  0.085  0.418
Au  0.746  0.582  0.915
Cd  0.500  0.166  0.834
Au  0.746  0.915  0.582
Cd  0.500  0.500  0.500
Cd  0.500  0.834  0.166
Au  0.250  0.751  0.751
Au  0.750  0.249  0.249
Au  0.254  0.418  0.085
Cd  0.000  0.667  0.333
Tm  0.000  0.000  0.000

Entry 3:
DFT (PBE-GGA) results for a relaxed structure of Tm2Cd3Au.

Values from the calculation:
SG ... No. 25

abc: 3.389 4.873 8.414
angles: 90.00 90.00 90.00
Positions (direct):
Cd  0.500  0.000  0.163
Cd  0.500  0.500  0.668
Cd  0.500  0.000  0.830
Tm  0.000  0.500  0.024
Au  0.500  0.500  0.334
Tm  0.000  0.000  0.481

Entry 4:
DFT (PBE-GGA) results for a relaxed structure of TmCdAu4.

Values from the calculation:
SG ... No. 2
Polymorph energy (0 for the lowest one) ... 0 meV/atom

abc: 3.877 5.141 7.170
angles: 78.65 74.32 112.23
Positions (direct):
Tm  0.501  0.497  0.998
Au  0.168  0.499  0.666
Cd  0.001  0.997  0.498
Au  0.834  0.496  0.330
Au  0.334  0.995  0.831
Au  0.669  0.000  0.166

| no. | E (eV per cell) | DFT formation energy (eV per atom) |
| --- | --- | --- |
| 1 | -20.9 | -0.404 |
| 2 | -32.5 | -0.316 |
| 3 | -17.5 | -0.420 |
| 4 | -21.5 | -0.500 |